A relaxed structure of TbSmTc. Source: Alexandria, functional PBE-GGA.

```
data_TbSmTc
_symmetry_space_group_name_H-M 'I 4 m m'
_symmetry_Int_Tables_number 107
_symmetry_space_group_name_Hall 'I 4 -2'
_cell_length_a 3.4957
_cell_length_b 3.4957
_cell_length_c 12.7738
_cell_angle_alpha 90.00
_cell_angle_beta 90.00
_cell_angle_gamma 90.00
loop_
_atom_site_label
_atom_site_type_symbol
_atom_site_fract_x
_atom_site_fract_y
_atom_site_fract_z
_atom_site_occupancy
Tb1 Tb 0.0000 0.0000 0.0000 1
Sm1 Sm 0.0000 0.0000 0.7420 1
Tc1 Tc 0.0000 0.0000 0.3735 1
```

ΔH_f (0 K): 0.06 eV/f.u.
Total energy: -6.553 eV/atom



A relaxed structure of NaAuS2N. Source: Alexandria, functional PBE-GGA.

```
data_NaAuS2N
_symmetry_space_group_name_H-M 'P 4/m m m'
_symmetry_Int_Tables_number 123
_symmetry_space_group_name_Hall '-P 4 2'
_cell_length_a 4.8878
_cell_length_b 4.8878
_cell_length_c 4.1095
_cell_angle_alpha 90.00
_cell_angle_beta 90.00
_cell_angle_gamma 90.00
loop_
_atom_site_label
_atom_site_type_symbol
_atom_site_fract_x
_atom_site_fract_y
_atom_site_fract_z
_atom_site_occupancy
Na1 Na 0.0000 0.0000 0.0000 1
Au1 Au 0.5000 0.5000 0.5000 1
S1 S 0.0000 0.5000 0.0000 1
N1 N 0.0000 0.0000 0.5000 1
```

Formation energy (no corrections): 1.808 eV per atom
Total energy: -2.427 eV/atom



A relaxed structure of Pa2Zn2TcN6. Source: Alexandria, functional PBE-GGA.

```
data_Pa2Zn2TcN6
_symmetry_space_group_name_H-M 'C 1 2/m 1'
_symmetry_Int_Tables_number 12
_cell_length_a 5.8023
_cell_length_b 10.4763
_cell_length_c 5.1372
_cell_angle_alpha 90.00
_cell_angle_beta 98.27
_cell_angle_gamma 90.00
loop_
_symmetry_equiv_pos_as_xyz
'x,y,z'
'-x,-y,-z'
'-x,y,-z'
'x,-y,z'
'x+1/2,y+1/2,z'
'-x+1/2,-y+1/2,-z'
'-x+1/2,y+1/2,-z'
'x+1/2,-y+1/2,z'
loop_
_atom_site_label
_atom_site_type_symbol
_atom_site_fract_x
_atom_site_fract_y
_atom_site_fract_z
_atom_site_occupancy
Pa1 Pa 0.0000 0.1603 0.0000 1
Zn1 Zn 0.0000 0.3670 0.5000 1
Tc1 Tc 0.0000 0.5000 0.0000 1
N1 N 0.1814 0.3352 0.2111 1
N2 N 0.2223 0.0000 0.2187 1
```

Formation energy (no corrections): -0.550 eV per atom
Total energy: -7.991 eV/atom



A relaxed structure of LiAcPmP. Source: Alexandria, functional PBE-GGA.

```
data_LiAcPmP
_symmetry_space_group_name_H-M 'F -4 3 m'
_symmetry_Int_Tables_number 216
_symmetry_space_group_name_Hall 'F -4 2 3'
_cell_length_a 7.4046
_cell_length_b 7.4046
_cell_length_c 7.4046
_cell_angle_alpha 90.00
_cell_angle_beta 90.00
_cell_angle_gamma 90.00
loop_
_atom_site_label
_atom_site_type_symbol
_atom_site_fract_x
_atom_site_fract_y
_atom_site_fract_z
_atom_site_occupancy
Li1 Li 0.0000 0.0000 0.0000 1
Ac1 Ac 0.2500 0.2500 0.7500 1
Pm1 Pm 0.2500 0.2500 0.2500 1
P1 P 0.0000 0.0000 0.5000 1
```

ΔH_f (0 K): -1.47 eV/f.u.
Total energy: -4.414 eV/atom



A relaxed structure of K4CeTc3O12. Source: Alexandria, functional PBE-GGA.

```
data_K4CeTc3O12
_symmetry_space_group_name_H-M 'I m -3 m'
_symmetry_Int_Tables_number 229
_symmetry_space_group_name_Hall '-I 4 2 3'
_cell_length_a 8.1317
_cell_length_b 8.1317
_cell_length_c 8.1317
_cell_angle_alpha 90.00
_cell_angle_beta 90.00
_cell_angle_gamma 90.00
loop_
_atom_site_label
_atom_site_type_symbol
_atom_site_fract_x
_atom_site_fract_y
_atom_site_fract_z
_atom_site_occupancy
K1 K 0.2500 0.2500 0.2500 1
Ce1 Ce 0.0000 0.0000 0.0000 1
Tc1 Tc 0.0000 0.0000 0.5000 1
O1 O 0.0000 0.0000 0.2681 1
O2 O 0.0000 0.2500 0.5000 1
```

Formation energy (no corrections): -1.792 eV per atom
Total energy: -6.838 eV/atom



A relaxed structure of TaCrC2. Source: Alexandria, functional PBE-GGA.

```
data_TaCrC2
_symmetry_space_group_name_H-M 'I -4 2 d'
_symmetry_Int_Tables_number 122
_symmetry_space_group_name_Hall 'I -4 2bw'
_cell_length_a 4.5704
_cell_length_b 4.5704
_cell_length_c 9.4055
_cell_angle_alpha 90.00
_cell_angle_beta 90.00
_cell_angle_gamma 90.00
loop_
_atom_site_label
_atom_site_type_symbol
_atom_site_fract_x
_atom_site_fract_y
_atom_site_fract_z
_atom_site_occupancy
Ta1 Ta 0.0000 0.0000 0.0000 1
Cr1 Cr 0.0000 0.0000 0.5000 1
C1 C 0.2182 0.2500 0.6250 1
```

ΔH_f (0 K): 1.12 eV/f.u.
Total energy: -9.701 eV/atom



A relaxed structure of PuCdAg. Source: Alexandria, functional PBE-GGA.

```
data_PuCdAg
_symmetry_space_group_name_H-M 'P 1 21/m 1'
_symmetry_Int_Tables_number 11
_cell_length_a 4.0230
_cell_length_b 4.8286
_cell_length_c 7.4930
_cell_angle_alpha 90.00
_cell_angle_beta 105.49
_cell_angle_gamma 90.00
loop_
_symmetry_equiv_pos_as_xyz
'x,y,z'
'-x,-y,-z'
'-x,y+1/2,-z'
'x,-y+1/2,z'
loop_
_atom_site_label
_atom_site_type_symbol
_atom_site_fract_x
_atom_site_fract_y
_atom_site_fract_z
_atom_site_occupancy
Pu1 Pu 0.0631 0.2500 0.1269 1
Cd1 Cd 0.2525 0.7500 0.5048 1
Ag1 Ag 0.3894 0.2500 0.7785 1
```

ΔH_f (0 K): 0.17 eV/f.u.
Total energy: -5.977 eV/atom



A relaxed structure of NaLu2Co. Source: Alexandria, functional PBE-GGA.

```
data_NaLu2Co
_symmetry_space_group_name_H-M 'P 4/m m m'
_symmetry_Int_Tables_number 123
_symmetry_space_group_name_Hall '-P 4 2'
_cell_length_a 3.2734
_cell_length_b 3.2734
_cell_length_c 9.4270
_cell_angle_alpha 90.00
_cell_angle_beta 90.00
_cell_angle_gamma 90.00
loop_
_atom_site_label
_atom_site_type_symbol
_atom_site_fract_x
_atom_site_fract_y
_atom_site_fract_z
_atom_site_occupancy
Na1 Na 0.0000 0.0000 0.0000 1
Lu1 Lu 0.5000 0.5000 0.3331 1
Co1 Co 0.0000 0.0000 0.5000 1
```

ΔH_f (0 K): -0.32 eV/f.u.
Total energy: -4.446 eV/atom



A relaxed structure of Mn2AgHPd. Source: Alexandria, functional PBE-GGA.

```
data_Mn2AgHPd
_symmetry_space_group_name_H-M 'P 4/m m m'
_symmetry_Int_Tables_number 123
_symmetry_space_group_name_Hall '-P 4 2'
_cell_length_a 3.9543
_cell_length_b 3.9543
_cell_length_c 4.0857
_cell_angle_alpha 90.00
_cell_angle_beta 90.00
_cell_angle_gamma 90.00
loop_
_atom_site_label
_atom_site_type_symbol
_atom_site_fract_x
_atom_site_fract_y
_atom_site_fract_z
_atom_site_occupancy
Mn1 Mn 0.0000 0.5000 0.0000 1
Ag1 Ag 0.0000 0.0000 0.5000 1
H1 H 0.0000 0.0000 0.0000 1
Pd1 Pd 0.5000 0.5000 0.5000 1
```

Total energy: -5.803 eV/atom



A relaxed structure of Hf2TcOs2. Source: Alexandria, functional PBE-GGA.

```
data_Hf2TcOs2
_symmetry_space_group_name_H-M 'P 4/m b m'
_symmetry_Int_Tables_number 127
_symmetry_space_group_name_Hall '-P 4 2ab'
_cell_length_a 6.5439
_cell_length_b 6.5439
_cell_length_c 4.2373
_cell_angle_alpha 90.00
_cell_angle_beta 90.00
_cell_angle_gamma 90.00
loop_
_atom_site_label
_atom_site_type_symbol
_atom_site_fract_x
_atom_site_fract_y
_atom_site_fract_z
_atom_site_occupancy
Hf1 Hf 0.1785 0.3215 0.0000 1
Tc1 Tc 0.0000 0.0000 0.5000 1
Os1 Os 0.1357 0.6357 0.5000 1
```

ΔH_f (0 K): -0.80 eV/f.u.
Total energy: -10.706 eV/atom



A relaxed structure of AcPa4Ta3N12. Source: Alexandria, functional PBE-GGA.

```
data_AcPa4Ta3N12
_symmetry_space_group_name_H-M 'I m -3'
_symmetry_Int_Tables_number 204
_symmetry_space_group_name_Hall '-I 2 2 3'
_cell_length_a 8.3642
_cell_length_b 8.3642
_cell_length_c 8.3642
_cell_angle_alpha 90.00
_cell_angle_beta 90.00
_cell_angle_gamma 90.00
loop_
_atom_site_label
_atom_site_type_symbol
_atom_site_fract_x
_atom_site_fract_y
_atom_site_fract_z
_atom_site_occupancy
Ac1 Ac 0.0000 0.0000 0.0000 1
Pa1 Pa 0.2500 0.2500 0.2500 1
Ta1 Ta 0.0000 0.0000 0.5000 1
N1 N 0.0000 0.1650 0.3164 1
```

Formation energy (no corrections): -1.109 eV per atom
Total energy: -9.986 eV/atom



A relaxed structure of InTe2As. Source: Alexandria, functional PBE-GGA.

```
data_InTe2As
_symmetry_space_group_name_H-M 'F m -3 m'
_symmetry_Int_Tables_number 225
_symmetry_space_group_name_Hall '-F 4 2 3'
_cell_length_a 7.4851
_cell_length_b 7.4851
_cell_length_c 7.4851
_cell_angle_alpha 90.00
_cell_angle_beta 90.00
_cell_angle_gamma 90.00
loop_
_atom_site_label
_atom_site_type_symbol
_atom_site_fract_x
_atom_site_fract_y
_atom_site_fract_z
_atom_site_occupancy
In1 In 0.0000 0.0000 0.0000 1
Te1 Te 0.2500 0.2500 0.2500 1
As1 As 0.0000 0.0000 0.5000 1
```

Formation energy (no corrections): 0.248 eV per atom
Total energy: -3.170 eV/atom